(1)
MgAl2Ag2: relaxed, PBE.

Results
space-group type = P4/mbm, No. 127
ΔH_f (0 K) = -4 kJ/mol of formula units

Cell lengths 7.9088, 7.9088, 2.9338 Å; angles 90.00, 90.00, 90.00 degrees
Atoms (fractional coordinates):
Mg1 0.0000 0.0000 0.0000
Mg2 0.5000 0.5000 0.0000
Al1 0.1192 0.3808 0.0000
Al2 0.3808 0.8808 0.0000
Al3 0.6192 0.1192 0.0000
Al4 0.8808 0.6192 0.0000
Ag1 0.1822 0.6822 0.5000
Ag2 0.3178 0.1822 0.5000
Ag3 0.6822 0.8178 0.5000
Ag4 0.8178 0.3178 0.5000

(2)
Hg5As: relaxed, PBE.

Results
space-group type = Cm, No. 8
ΔH_f (0 K) = 76 kJ/mol of formula units

Cell lengths 10.8888, 3.0933, 9.8028 Å; angles 90.00, 108.64, 90.00 degrees
Atoms (fractional coordinates):
Hg1 0.0000 0.0000 0.0000
Hg2 0.0641 0.5000 0.3404
Hg3 0.2152 0.5000 0.9103
Hg4 0.3004 0.5000 0.2529
Hg5 0.3877 0.0000 0.6223
Hg6 0.5000 0.5000 0.0000
Hg7 0.5641 0.0000 0.3404
Hg8 0.7152 0.0000 0.9103
Hg9 0.8004 0.0000 0.2529
Hg10 0.8877 0.5000 0.6223
As1 0.1328 0.0000 0.6291
As2 0.6328 0.5000 0.6291

(3)
La7TbY12: relaxed, PBE.

Results
space-group type = R-3, No. 148
ΔH_f (0 K) = 426 kJ/mol of formula units

Cell lengths 8.9045, 8.9045, 8.9045 Å; angles 85.92, 85.92, 85.92 degrees
Atoms (fractional coordinates):
La1 0.0000 0.0000 0.0000
La2 0.1056 0.3390 0.4157
La3 0.3390 0.4157 0.1056
La4 0.4157 0.1056 0.3390
La5 0.5843 0.8944 0.6610
La6 0.6610 0.5843 0.8944
La7 0.8944 0.6610 0.5843
Tb1 0.5000 0.5000 0.5000
Y1 0.0019 0.3634 0.8835
Y2 0.1165 0.9981 0.6366
Y3 0.2276 0.7507 0.3574
Y4 0.2493 0.6426 0.7724
Y5 0.3574 0.2276 0.7507
Y6 0.3634 0.8835 0.0019
Y7 0.6366 0.1165 0.9981
Y8 0.6426 0.7724 0.2493
Y9 0.7507 0.3574 0.2276
Y10 0.7724 0.2493 0.6426
Y11 0.8835 0.0019 0.3634
Y12 0.9981 0.6366 0.1165

(4)
CuCI3: relaxed, PBE.

Results
space-group type = Pm-3m, No. 221
energy relative to the elements, uncorrected = 1567 meV/atom

Cell lengths 5.3695, 5.3695, 5.3695 Å; angles 90.00, 90.00, 90.00 degrees
Atoms (fractional coordinates):
Cu1 0.0000 0.0000 0.0000
C1 0.5000 0.5000 0.5000
I1 0.0000 0.0000 0.5000
I2 0.0000 0.5000 0.0000
I3 0.5000 0.0000 0.0000

(5)
LaCe2Pb: relaxed, PBE.

Results
space-group type = P2_1/m, No. 11
ΔH_f (0 K) = -120 kJ/mol of formula units

Cell lengths 4.6511, 4.4761, 11.8625 Å; angles 90.00, 99.11, 90.00 degrees
Atoms (fractional coordinates):
La1 0.2024 0.2500 0.3894
La2 0.7976 0.7500 0.6106
Ce1 0.1118 0.7500 0.1103
Ce2 0.4951 0.2500 0.1085
Ce3 0.5049 0.7500 0.8915
Ce4 0.8882 0.2500 0.8897
Pb1 0.3184 0.2500 0.6815
Pb2 0.6816 0.7500 0.3185

(6)
ZrScSi3: relaxed, PBE.

Results
space-group type = Pm-3m, No. 221
energy relative to the elements, uncorrected = 738 meV/atom

Cell lengths 4.7718, 4.7718, 4.7718 Å; angles 90.00, 90.00, 90.00 degrees
Atoms (fractional coordinates):
Zr1 0.0000 0.0000 0.0000
Sc1 0.5000 0.5000 0.5000
Si1 0.0000 0.5000 0.5000
Si2 0.5000 0.0000 0.5000
Si3 0.5000 0.5000 0.0000

Number 1: total magnetic moment 0.00 μB per cell. Number 2: total magnetic moment 0.00 μB per cell. Number 3: total magnetic moment 0.00 μB per cell. Number 4: total magnetic moment 1.16 μB per cell. Number 5: total magnetic moment 0.83 μB per cell. Number 6: total magnetic moment 0.00 μB per cell.